This record from Alexandria via LeMat-Bulk describes crystalline Mn4AgO8 at its relaxed geometry. The functional is PBE+U.

Cell lengths 6.011, 6.012, 6.449 Å; angles 105.71, 99.77, 121.85 degrees
Each line ends with the local moment (μB).
Fractional positions:
Mn (0.249, 0.249, 0.000)  3.77
Mn (0.751, 0.751, 0.000)  3.77
Mn (0.257, 0.761, 0.019)  3.32
Mn (0.743, 0.239, 0.981)  3.32
Ag (0.000, 0.500, 0.500)  -0.16
O (0.668, 0.036, 0.183)  -0.15
O (0.147, 0.515, 0.183)  -0.15
O (0.662, 0.492, 0.154)  -0.14
O (0.163, 0.005, 0.168)  -0.14
O (0.837, 0.995, 0.832)  -0.14
O (0.338, 0.508, 0.846)  -0.14
O (0.853, 0.485, 0.817)  -0.15
O (0.332, 0.964, 0.817)  -0.15

Properties
- space group = C2/m
- E (eV per formula unit) = -88.36